1.
First-principles (GGA-PBE) data for Ac2MgGa after structural relaxation, as listed in Alexandria via LeMat-Bulk.

a = 3.9806 Å, b = 3.9806 Å, c = 8.1878 Å
α = 90.00°, β = 90.00°, γ = 90.00°
Element x y z (fractional)
Ga 0.5000 0.5000 0.0000
Ac 0.0000 0.0000 0.7697
Ac 0.0000 0.0000 0.2303
Mg 0.5000 0.5000 0.5000

## Properties
Energy: -13.863 eV per formula unit
Volume: 32.4 Å³ per atom

2.
First-principles (GGA-PBE) data for AcMgGa4 after structural relaxation, as listed in Alexandria via LeMat-Bulk.

a = 4.2494 Å, b = 8.1810 Å, c = 15.7774 Å
α = 90.00°, β = 90.00°, γ = 90.00°
Element x y z (fractional)
Ga 0.5000 0.4789 0.1957
Ga 0.5000 0.7134 0.6874
Ga 0.5000 0.2866 0.3126
Ga 0.5000 0.0211 0.6957
Ga 0.5000 0.6171 0.9510
Ga 0.5000 0.1312 0.9654
Ga 0.5000 0.5211 0.8043
Ga 0.5000 0.2134 0.8126
Ga 0.5000 0.6312 0.5346
Ga 0.5000 0.8829 0.4510
Ga 0.5000 0.7866 0.1874
Ga 0.5000 0.3688 0.4654
Ga 0.5000 0.9789 0.3043
Ga 0.5000 0.3829 0.0490
Ga 0.5000 0.1171 0.5490
Ga 0.5000 0.8688 0.0346
Mg 0.0000 0.1312 0.4142
Mg 0.0000 0.3688 0.9142
Mg 0.0000 0.6312 0.0858
Mg 0.0000 0.8688 0.5858
Ac 0.0000 0.1277 0.1501
Ac 0.0000 0.8723 0.8499
Ac 0.0000 0.6277 0.3499
Ac 0.0000 0.3723 0.6501

## Properties
Polymorph energy (0 for the lowest one): 19 meV/atom
Volume: 22.9 Å³ per atom

3.
First-principles (GGA-PBE) data for Ac5MgGa4 after structural relaxation, as listed in Alexandria via LeMat-Bulk.

a = 3.9334 Å, b = 3.9334 Å, c = 20.1181 Å
α = 90.00°, β = 90.00°, γ = 90.00°
Element x y z (fractional)
Ga 0.0000 0.0000 0.4028
Ga 0.0000 0.0000 0.5972
Ga 0.0000 0.0000 0.7952
Ga 0.0000 0.0000 0.2048
Mg 0.0000 0.0000 0.0000
Ac 0.5000 0.5000 0.3045
Ac 0.5000 0.5000 0.6955
Ac 0.5000 0.5000 0.5000
Ac 0.5000 0.5000 0.8877
Ac 0.5000 0.5000 0.1123

## Properties
Energy: -37.870 eV per formula unit
Volume: 31.1 Å³ per atom

4.
First-principles (GGA-PBE) data for AcMgGa after structural relaxation, as listed in Alexandria via LeMat-Bulk.

a = 3.6518 Å, b = 3.6518 Å, c = 6.7502 Å
α = 105.69°, β = 105.69°, γ = 90.00°
Element x y z (fractional)
Ac 0.6264 0.6264 0.2527
Ga 0.3048 0.3048 0.6096
Mg 0.9188 0.9188 0.8377

## Properties
Polymorph energy (0 for the lowest one): 214 meV/atom
Volume: 27.7 Å³ per atom

5.
First-principles (GGA-PBE) data for Ac3Mg2Ga4 after structural relaxation, as listed in Alexandria via LeMat-Bulk.

a = 4.7076 Å, b = 6.4137 Å, c = 9.2585 Å
α = 105.75°, β = 90.00°, γ = 111.53°
Element x y z (fractional)
Ga 0.0793 0.1587 0.4165
Ga 0.7183 0.4367 0.0583
Ga 0.2817 0.5633 0.9417
Ga 0.9207 0.8413 0.5835
Ac 0.0000 0.0000 0.0000
Ac 0.3687 0.7374 0.3051
Ac 0.6313 0.2626 0.6949
Mg 0.6715 0.3430 0.3413
Mg 0.3285 0.6570 0.6587

## Properties
Energy: -31.549 eV per formula unit
Volume: 27.6 Å³ per atom

6.
First-principles (GGA-PBE) data for AcMgGa3 after structural relaxation, as listed in Alexandria via LeMat-Bulk.

a = 4.3469 Å, b = 4.5114 Å, c = 12.5869 Å
α = 100.32°, β = 90.00°, γ = 90.00°
Element x y z (fractional)
Ga 0.7500 0.5259 0.0519
Ga 0.7500 0.3145 0.6291
Ga 0.2500 0.6855 0.3709
Ga 0.2500 0.3700 0.7399
Ga 0.7500 0.6300 0.2601
Ga 0.2500 0.4741 0.9481
Mg 0.7500 0.2047 0.4094
Mg 0.2500 0.7953 0.5906
Ac 0.7500 0.9220 0.8439
Ac 0.2500 0.0780 0.1561

## Properties
Energy: -16.933 eV per formula unit
Volume: 24.3 Å³ per atom

7.
First-principles (GGA-PBE) data for AcMg10Ga2 after structural relaxation, as listed in Alexandria via LeMat-Bulk.

a = 5.7622 Å, b = 7.7259 Å, c = 7.8537 Å
α = 82.14°, β = 68.48°, γ = 68.10°
Element x y z (fractional)
Mg 0.5000 0.0000 0.5000
Mg 0.5067 0.7758 0.2109
Mg 0.2824 0.2242 0.2109
Mg 0.0059 0.6398 0.3484
Mg 0.7176 0.7758 0.7891
Mg 0.9941 0.3602 0.6516
Mg 0.4933 0.2242 0.7891
Mg 0.0000 0.0000 0.5000
Mg 0.6457 0.3602 0.3484
Mg 0.3543 0.6398 0.6516
Ac 0.0000 0.0000 0.0000
Ga 0.5000 0.5000 0.0000
Ga 0.0000 0.5000 0.0000

## Properties
Energy: -27.766 eV per formula unit
Volume: 23.2 Å³ per atom

8.
First-principles (GGA-PBE) data for Ac3Mg4Ga4 after structural relaxation, as listed in Alexandria via LeMat-Bulk.

a = 4.7882 Å, b = 7.6334 Å, c = 9.0737 Å
α = 114.87°, β = 105.30°, γ = 90.00°
Element x y z (fractional)
Ac 0.1227 0.1227 0.2455
Ac 0.0000 0.5000 0.0000
Ac 0.8773 0.8773 0.7545
Ga 0.2195 0.7195 0.4390
Ga 0.5000 0.1822 0.0000
Ga 0.5000 0.8178 0.0000
Ga 0.7805 0.2805 0.5610
Mg 0.3286 0.5206 0.6572
Mg 0.6714 0.4794 0.3428
Mg 0.6714 0.8635 0.3428
Mg 0.3286 0.1365 0.6572

## Properties
Energy: -35.360 eV per formula unit
Volume: 26.2 Å³ per atom

9.
First-principles (GGA-PBE) data for Ac2Mg5Ga3 after structural relaxation, as listed in Alexandria via LeMat-Bulk.

a = 4.7184 Å, b = 7.6886 Å, c = 14.0787 Å
α = 90.00°, β = 99.65°, γ = 90.00°
Element x y z (fractional)
Ga 0.9533 0.4696 0.9066
Ga 0.6105 0.5172 0.2210
Ga 0.3895 0.0172 0.7790
Ga 0.0467 0.9696 0.0934
Ga 0.7670 0.7275 0.5339
Ga 0.2330 0.2275 0.4661
Mg 0.5993 0.9003 0.1987
Mg 0.9426 0.0818 0.8851
Mg 0.1284 0.2373 0.2568
Mg 0.7058 0.0354 0.4117
Mg 0.4007 0.4003 0.8013
Mg 0.2925 0.9182 0.5850
Mg 0.8716 0.7373 0.7432
Mg 0.7075 0.4182 0.4150
Mg 0.2942 0.5354 0.5883
Mg 0.0574 0.5818 0.1149
Ac 0.1759 0.7241 0.3519
Ac 0.5204 0.2535 0.0408
Ac 0.8241 0.2241 0.6481
Ac 0.4796 0.7535 0.9592

## Properties
Polymorph energy (0 for the lowest one): 0 meV/atom
Volume: 25.2 Å³ per atom

10.
First-principles (GGA-PBE) data for Ac3Mg3Ga8 after structural relaxation, as listed in Alexandria via LeMat-Bulk.

a = 4.5745 Å, b = 9.0359 Å, c = 9.0359 Å
α = 65.80°, β = 75.34°, γ = 75.34°
Element x y z (fractional)
Ga 0.6425 0.0816 0.6333
Ga 0.8370 0.5269 0.7991
Ga 0.3575 0.9184 0.3667
Ga 0.3575 0.3667 0.9184
Ga 0.1630 0.2009 0.4731
Ga 0.1630 0.4731 0.2009
Ga 0.6425 0.6333 0.0816
Ga 0.8370 0.7991 0.5269
Mg 0.0000 0.7908 0.2092
Mg 0.5000 0.0000 0.0000
Mg 0.0000 0.2092 0.7908
Ac 0.7982 0.2018 0.2018
Ac 0.2018 0.7982 0.7982
Ac 0.5000 0.5000 0.5000

## Properties
Energy: -47.673 eV per formula unit
Volume: 23.2 Å³ per atom

11.
First-principles (GGA-PBE) data for AcMg4Ga after structural relaxation, as listed in Alexandria via LeMat-Bulk.

a = 6.1042 Å, b = 6.1042 Å, c = 6.1042 Å
α = 60.00°, β = 60.00°, γ = 60.00°
Element x y z (fractional)
Ga 0.0000 0.0000 0.0000
Ac 0.2500 0.2500 0.2500
Mg 0.6256 0.1232 0.6256
Mg 0.6256 0.6256 0.6256
Mg 0.6256 0.6256 0.1232
Mg 0.1232 0.6256 0.6256

## Properties
Polymorph energy (0 for the lowest one): 178 meV/atom
Volume: 26.8 Å³ per atom

12.
First-principles (GGA-PBE) data for AcMgGa4 after structural relaxation, as listed in Alexandria via LeMat-Bulk.

a = 5.7464 Å, b = 5.7464 Å, c = 5.7464 Å
α = 60.00°, β = 60.00°, γ = 60.00°
Element x y z (fractional)
Ga 0.1244 0.6252 0.6252
Ga 0.6252 0.1244 0.6252
Ga 0.6252 0.6252 0.1244
Ga 0.6252 0.6252 0.6252
Ac 0.0000 0.0000 0.0000
Mg 0.2500 0.2500 0.2500

## Properties
Polymorph energy (0 for the lowest one): 182 meV/atom
Volume: 22.4 Å³ per atom